Record 1
Entry from Alexandria: an optimized crystal structure of YSbAu4 (GGA-PBEsol).

Energy relative to the elements, uncorrected = -0.434 eV/atom

Unit cell a=7.8439 b=7.8439 c=7.8439 alpha=90.00 beta=90.00 gamma=90.00
Space group F-43m (No. 216)
Symmetry-distinct sites (fractional):
Y 0.0000 0.0000 0.0000 x4
Sb 0.2500 0.2500 0.2500 x4
Au 0.1251 0.1251 0.6251 x16


Record 2
Entry from Alexandria: an optimized crystal structure of CrRuRh2 (GGA-PBEsol).

Formation energy from the elements = -0.009 eV/atom

Unit cell a=5.2520 b=7.4673 c=2.6432 alpha=90.00 beta=90.00 gamma=90.00
Space group Cmmm (No. 65)
Symmetry-distinct sites (fractional):
Cr 0.0000 0.0000 0.0000 x2
Ru 0.0000 0.5000 0.0000 x2
Rh 0.2500 0.2500 0.5000 x4


Record 3
Entry from Alexandria: an optimized crystal structure of RbCaTe2 (GGA-PBEsol).

Energy relative to the elements, uncorrected = -0.830 eV/atom

Unit cell a=6.7573 b=6.7573 c=18.9920 alpha=90.00 beta=90.00 gamma=90.00
Space group I4_1/amd (No. 141, origin choice 2)
Symmetry-distinct sites (fractional):
Rb 0.0000 0.2500 0.3750 x4
Ca 0.0000 0.2500 0.8750 x4
Te 0.0000 0.0000 0.0000 x8


Record 4
Entry from Alexandria: an optimized crystal structure of Np (GGA-PBEsol).

Formation energy from the elements = 0.000 eV/atom

Unit cell a=6.4808 b=4.5944 c=4.7125 alpha=90.00 beta=90.00 gamma=90.00
Space group Pnma (No. 62)
Symmetry-distinct sites (fractional):
Np 0.0418 0.2500 0.2140 x4
Np 0.1809 0.7500 0.3536 x4


Record 5
Entry from Alexandria: an optimized crystal structure of CaTe2Os (GGA-PBEsol).

Energy relative to the elements, uncorrected = -0.135 eV/atom

Unit cell a=3.2538 b=3.2538 c=9.1082 alpha=90.00 beta=90.00 gamma=90.00
Space group P4mm (No. 99)
Symmetry-distinct sites (fractional):
Ca 0.0000 0.0000 0.0000 x1
Te 0.0000 0.0000 0.3853 x1
Te 0.5000 0.5000 0.7443 x1
Os 0.5000 0.5000 0.2363 x1


Record 6
Entry from Alexandria: an optimized crystal structure of YOs3Cl (GGA-PBEsol).

Energy relative to the elements, uncorrected = 1.159 eV/atom

Unit cell a=4.4002 b=4.4002 c=4.4002 alpha=90.00 beta=90.00 gamma=90.00
Space group Pm-3m (No. 221)
Symmetry-distinct sites (fractional):
Y 0.0000 0.0000 0.0000 x1
Os 0.0000 0.5000 0.5000 x3
Cl 0.5000 0.5000 0.5000 x1


Record 7
Entry from Alexandria: an optimized crystal structure of CaBe2WF (GGA-PBEsol).

Energy relative to the elements, uncorrected = 0.147 eV/atom

Unit cell a=4.4919 b=4.4919 c=4.1262 alpha=90.00 beta=90.00 gamma=90.00
Space group P4/mmm (No. 123)
Symmetry-distinct sites (fractional):
Ca 0.0000 0.0000 0.0000 x1
Be 0.0000 0.5000 0.5000 x2
W 0.5000 0.5000 0.5000 x1
F 0.5000 0.5000 0.0000 x1


Record 8
Entry from Alexandria: an optimized crystal structure of Ba2CrBr (GGA-PBEsol).

Energy relative to the elements, uncorrected = -0.185 eV/atom

Unit cell a=12.7135 b=4.0084 c=5.4513 alpha=90.00 beta=90.06 gamma=90.00
Space group Cm (No. 8)
Symmetry-distinct sites (fractional):
Ba 0.0000 0.0000 0.0000 x2
Ba 0.2426 0.5000 0.5015 x2
Cr 0.4825 0.0000 0.4997 x2
Br 0.2641 0.0000 0.0017 x2


| no. | uncorrected energy (eV per cell) | calculated volume (Å³/cell) |
| --- | --- | --- |
| 1 | -118.71 | 482.6 |
| 2 | -73.46 | 103.7 |
| 3 | -54.12 | 867.2 |
| 4 | -110.79 | 140.3 |
| 5 | -21.94 | 96.4 |
| 6 | -39.68 | 85.2 |
| 7 | -25.13 | 83.3 |
| 8 | -34.30 | 277.8 |